A plane-wave DFT calculation with PBE was carried out for Tb3CeNd4 after structural relaxation.

The structure belongs to space group C2/m (No. 12); the cell edges are 23.6814, 3.4601 and 6.9063 Å and the angles 90.00°, 106.89° and 90.00°. The asymmetric unit holds Tb at (0.0000, 0.0000, 0.0000), Tb at (0.1226, 0.0000, 0.3814), Ce at (0.0000, 0.5000, 0.5000), Nd at (0.1222, 0.0000, 0.8631) and Nd at (0.2417, 0.5000, 0.7369).

The electronic total energy comes out at -4.675 eV/atom. The value obtained for the energy of formation from the pure elements is 0.19 eV/atom.